i) The following is a PBE-GGA calculation of NiCCl2 after structural relaxation, from the Alexandria database.

Output
DOS at the Fermi energy ... 0.8 states/eV/f.u.
Size of the total moment ... 0.0000 μB/atom

Unit cell a=5.4132 b=5.4132 c=9.7759 alpha=90.00 beta=90.00 gamma=90.00
Closest atoms and distances in Å follow each position.
Space group I-42d (No. 122)
One atom of each set of equivalent atoms:
Ni 0.0000 0.0000 0.0000 x4  4 Cl 2.22
C 0.0000 0.0000 0.5000 x4  4 Cl 2.32
Cl 0.2346 0.2500 0.1250 x8  2 Ni 2.22, 2 C 2.32


ii) The following is a PBE-GGA calculation of NiCCl2 after structural relaxation, from the Alexandria database.

Output
DOS at the Fermi energy ... 3.6 states/eV/f.u.
Size of the total moment ... 0.0474 μB/atom

Unit cell a=6.0870 b=6.0870 c=6.0870 alpha=90.00 beta=90.00 gamma=90.00
Closest atoms and distances in Å follow each position.
Space group Fm-3m (No. 225)
One atom of each set of equivalent atoms:
Ni 0.0000 0.0000 0.0000 x4  8 Cl 2.64
C 0.0000 0.0000 0.5000 x4  8 Cl 2.64
Cl 0.2500 0.2500 0.2500 x8  4 Ni 2.64, 4 C 2.64


iii) The following is a PBE-GGA calculation of NiCCl2 after structural relaxation, from the Alexandria database.

Output
DOS at the Fermi energy ... 3.4 states/eV/f.u.
Size of the total moment ... 0.3184 μB/atom

Unit cell a=3.3739 b=3.3739 c=21.6575 alpha=90.00 beta=90.00 gamma=120.00
Closest atoms and distances in Å follow each position.
Space group R-3m (No. 166, hexagonal axes)
One atom of each set of equivalent atoms:
Ni 0.0000 0.0000 0.0000 x3  6 Cl 2.39
C 0.0000 0.0000 0.5000 x3  2 Cl 2.23
Cl 0.0000 0.0000 0.3970 x6  1 C 2.23, 3 Ni 2.39


The computed energies, referenced to the most stable structure and given in meV/atom, are i) 46; ii) 364; iii) 0.